No. 1
First-principles (PBE-GGA) data for RbWSe2 after structural relaxation, as listed in the Alexandria database.

Computed properties:
Space-group type ... R-3m (166)
Formation energy without anion corrections ... -2.4 kcal/mol of atoms
Distance to the lowest polymorph of the same formula ... 0.40 eV per formula unit
Spin magnetization ... 0.000 μB per cell

Geometry as extended XYZ:
```
4
Lattice="1.807 1.043 9.783 -1.807 1.043 9.783 0.000 -2.086 9.783" Properties=species:S:1:pos:R:3 pbc="T T T"
Rb 0.000 0.000 0.000
W 0.000 0.000 14.674
Se 0.000 0.000 3.332
Se 0.000 0.000 26.016
```


No. 2
First-principles (PBE-GGA) data for Li2MgTiB after structural relaxation, as listed in the Alexandria database.

Computed properties:
Space-group type ... P4/mmm (123)
E_form ... 0.642 eV per atom
Spin magnetization ... 2.258 μB per cell

Geometry as extended XYZ:
```
5
Lattice="4.306 0.000 0.000 0.000 4.306 0.000 0.000 0.000 4.428" Properties=species:S:1:pos:R:3 pbc="T T T"
Li 0.000 2.153 0.000
Li 2.153 0.000 0.000
Mg 0.000 0.000 2.214
Ti 2.153 2.153 2.214
B 0.000 0.000 0.000
```


No. 3
First-principles (PBE-GGA) data for P4C5 after structural relaxation, as listed in the Alexandria database.

Computed properties:
Space-group type ... P6_3/mcm (193)
E_form ... 1.635 eV per atom
Distance to the lowest polymorph of the same formula ... 4.90 eV per formula unit
Spin magnetization ... 0.000 μB per cell

Geometry as extended XYZ:
```
18
Lattice="5.989 0.000 0.000 -2.994 5.187 0.000 0.000 0.000 5.465" Properties=species:S:1:pos:R:3 pbc="T T T"
P 0.000 0.000 0.000
P 0.000 0.000 2.732
P -1.462 2.532 1.366
P -1.532 2.654 4.099
P 2.924 0.000 1.366
P 1.462 2.532 4.099
P 3.065 0.000 4.099
P 1.532 2.654 1.366
C -0.651 1.127 4.099
C -2.344 4.059 1.366
C 1.302 0.000 4.099
C 0.651 1.127 1.366
C 0.000 3.458 0.000
C 0.000 3.458 2.732
C 2.994 1.729 0.000
C 2.994 1.729 2.732
C 4.687 0.000 1.366
C 2.344 4.059 4.099
```


No. 4
First-principles (PBE-GGA) data for TlTc2SbBr after structural relaxation, as listed in the Alexandria database.

Computed properties:
Space-group type ... P4/mmm (123)
Formation energy without anion corrections ... 42.8 kcal/mol of atoms
Spin magnetization ... 6.031 μB per cell

Geometry as extended XYZ:
```
5
Lattice="5.335 0.000 0.000 0.000 5.335 0.000 0.000 0.000 5.457" Properties=species:S:1:pos:R:3 pbc="T T T"
Tl 0.000 0.000 0.000
Tc 0.000 2.667 0.000
Tc 2.667 0.000 0.000
Sb 2.667 2.667 2.728
Br 0.000 0.000 2.728
```


No. 5
First-principles (PBE-GGA) data for SrPm3As after structural relaxation, as listed in the Alexandria database.

Computed properties:
Space-group type ... Pm-3m (221)
E_form ... -0.354 eV per atom
Spin magnetization ... 0.001 μB per cell

Geometry as extended XYZ:
```
5
Lattice="5.758 0.000 0.000 0.000 5.758 0.000 0.000 0.000 5.758" Properties=species:S:1:pos:R:3 pbc="T T T"
Sr 0.000 0.000 0.000
Pm 0.000 2.879 2.879
Pm 2.879 0.000 2.879
Pm 2.879 2.879 0.000
As 2.879 2.879 2.879
```


No. 6
First-principles (PBE-GGA) data for Ho2ErGa after structural relaxation, as listed in the Alexandria database.

Computed properties:
Space-group type ... R3m (160)
E_form ... -0.198 eV per atom
Distance to the lowest polymorph of the same formula ... 0.33 eV per formula unit
Spin magnetization ... 0.703 μB per cell

Geometry as extended XYZ:
```
4
Lattice="1.792 1.034 10.108 -1.792 1.034 10.108 0.000 -2.069 10.108" Properties=species:S:1:pos:R:3 pbc="T T T"
Ho 0.000 0.000 0.000
Ho 0.000 0.000 5.764
Er 0.000 0.000 23.091
Ga 0.000 0.000 18.054
```


No. 7
First-principles (PBE-GGA) data for BaSr6Ag3 after structural relaxation, as listed in the Alexandria database.

Computed properties:
Space-group type ... Cmc2_1 (36)
E_form ... -0.160 eV per atom
Spin magnetization ... 0.000 μB per cell

Geometry as extended XYZ:
```
20
Lattice="6.453 -7.539 0.000 6.453 7.539 0.000 0.000 0.000 8.647" Properties=species:S:1:pos:R:3 pbc="T T T"
Ba 6.453 4.983 4.324
Ba 6.453 -4.983 0.000
Sr 3.364 2.941 6.163
Sr 2.148 0.673 3.062
Sr 2.148 -0.673 7.385
Sr 6.453 3.460 0.055
Sr 3.364 -2.941 1.839
Sr 6.453 0.487 3.012
Sr 6.453 -0.487 7.335
Sr 9.542 2.941 6.163
Sr 6.453 -3.460 4.379
Sr 10.758 0.673 3.062
Sr 10.758 -0.673 7.385
Sr 9.542 -2.941 1.839
Ag 6.453 6.445 1.255
Ag 3.959 1.478 0.482
Ag 3.959 -1.478 4.806
Ag 8.947 1.478 0.482
Ag 8.947 -1.478 4.806
Ag 6.453 -6.445 5.579
```


No. 8
First-principles (PBE-GGA) data for Bi4IO6 after structural relaxation, as listed in the Alexandria database.

Computed properties:
Space-group type ... P1 (1)
Formation energy without anion corrections ... -22.4 kcal/mol of atoms
Distance to the lowest polymorph of the same formula ... 0.00 eV per formula unit
Spin magnetization ... 0.569 μB per cell

Geometry as extended XYZ:
```
11
Lattice="6.061 0.000 0.000 0.020 6.289 0.000 1.430 3.074 6.009" Properties=species:S:1:pos:R:3 pbc="T T T"
Bi 0.000 0.000 0.000
Bi 1.098 6.681 4.159
Bi 2.597 3.429 0.091
Bi 5.133 4.052 2.936
I 3.418 7.053 1.808
O 0.614 5.336 2.212
O 2.373 5.261 5.219
O 2.931 8.083 5.038
O 5.245 5.520 4.569
O 4.923 4.324 0.135
O 6.571 2.759 3.887
```


No. 9
First-principles (PBE-GGA) data for MgHPt2 after structural relaxation, as listed in the Alexandria database.

Computed properties:
Space-group type ... R-3m (166)
Distance to the lowest polymorph of the same formula ... 1.68 eV per formula unit
Spin magnetization ... 0.000 μB per cell

Geometry as extended XYZ:
```
4
Lattice="1.440 0.831 7.600 -1.440 0.831 7.600 0.000 -1.662 7.600" Properties=species:S:1:pos:R:3 pbc="T T T"
Mg 0.000 0.000 0.000
H 0.000 0.000 11.400
Pt 0.000 0.000 2.521
Pt 0.000 0.000 20.280
```


No. 10
First-principles (PBE-GGA) data for Ac3Ga6Ni5 after structural relaxation, as listed in the Alexandria database.

Computed properties:
Space-group type ... Pmmn (59)
E_form ... -0.461 eV per atom
Spin magnetization ... 0.000 μB per cell

Geometry as extended XYZ:
```
28
Lattice="4.162 0.000 0.000 0.000 12.466 0.000 0.000 0.000 10.522" Properties=species:S:1:pos:R:3 pbc="T T T"
Ac 1.041 1.111 2.595
Ac 1.041 5.122 2.595
Ac 1.041 9.349 2.734
Ac 3.122 3.116 7.788
Ac 3.122 7.344 7.927
Ac 3.122 11.354 7.927
Ga 1.041 0.661 6.113
Ga 1.041 3.116 5.105
Ga 1.041 3.116 10.387
Ga 1.041 5.572 6.113
Ga 1.041 7.226 0.077
Ga 1.041 11.473 0.077
Ga 3.122 0.993 10.445
Ga 3.122 5.240 10.445
Ga 3.122 6.894 4.409
Ga 3.122 9.349 0.135
Ga 3.122 9.349 5.417
Ga 3.122 11.805 4.409
Ni 1.041 0.986 8.997
Ni 1.041 5.247 8.997
Ni 1.041 8.037 5.522
Ni 1.041 9.349 9.407
Ni 1.041 10.662 5.522
Ni 3.122 1.804 5.000
Ni 3.122 3.116 1.115
Ni 3.122 4.429 5.000
Ni 3.122 7.218 1.525
Ni 3.122 11.480 1.525
```


No. 11
First-principles (PBE-GGA) data for Cd2SiP after structural relaxation, as listed in the Alexandria database.

Computed properties:
Space-group type ... Cmmm (65)
Formation energy without anion corrections ... 9.9 kcal/mol of atoms
Distance to the lowest polymorph of the same formula ... 1.45 eV per formula unit
Spin magnetization ... 0.000 μB per cell

Geometry as extended XYZ:
```
4
Lattice="2.707 -3.816 0.000 2.707 3.816 0.000 0.000 0.000 3.875" Properties=species:S:1:pos:R:3 pbc="T T T"
Cd 1.353 1.908 0.000
Cd 1.353 -1.908 0.000
Si 0.000 0.000 1.938
P 2.707 0.000 1.938
```


No. 12
First-principles (PBE-GGA) data for LiV3Hg after structural relaxation, as listed in the Alexandria database.

Computed properties:
Space-group type ... Pm-3m (221)
E_form ... 1.601 eV per atom
Distance to the lowest polymorph of the same formula ... 2.49 eV per formula unit
Spin magnetization ... 10.554 μB per cell

Geometry as extended XYZ:
```
5
Lattice="5.153 0.000 0.000 0.000 5.153 0.000 0.000 0.000 5.153" Properties=species:S:1:pos:R:3 pbc="T T T"
Li 0.000 0.000 0.000
V 0.000 2.577 2.577
V 2.577 0.000 2.577
V 2.577 2.577 0.000
Hg 2.577 2.577 2.577
```


What are the electronic total energy values for these records? In order: -5.326, -3.356, -5.894, -3.924, -4.471, -4.385, -2.217, -5.230, -4.191, -4.703, -2.737, -4.313 eV/atom.